! CsBa2VO4 | Alexandria via LeMat-Bulk | GGA+U | relaxed; values from VASP
! spin magnetization: 4.00 μB per cell
! calculated total energy: -97.210 eV for the cell shown
&SYSTEM
  ibrav = 0, nat = 16, ntyp = 4
/
ATOMIC_SPECIES
Cs 132.91 Cs.upf
Ba 137.33 Ba.upf
V 50.94 V.upf
O 16.00 O.upf
CELL_PARAMETERS angstrom
3.944 0.000 0.000
-1.972 6.887 0.000
0.000 0.000 13.175
ATOMIC_POSITIONS crystal
Cs 0.092 0.183 0.750
Cs 0.908 0.817 0.250
Ba 0.371 0.742 0.540
Ba 0.629 0.258 0.040
Ba 0.629 0.258 0.460
Ba 0.371 0.742 0.960
V 0.799 0.598 0.750
V 0.201 0.402 0.250
O 0.251 0.502 0.119
O 0.749 0.498 0.619
O 0.749 0.498 0.881
O 0.251 0.502 0.381
O 0.000 0.000 0.500
O 0.000 0.000 0.000
O 0.343 0.687 0.750
O 0.657 0.313 0.250